(1)
A plane-wave DFT calculation with GGA-PBE was carried out for a relaxed Tc2OsBr crystal.

## Properties
**Symmetry**: Fm-3m, No. 225
**DFT total energy**: -0.2720 hartree per atom
**D(E_F)**: 5.2 states/eV/f.u.
**Offset from the most stable computed form**: 1.88 eV per formula unit
**E_form (uncorrected)**: 1007 meV/atom

```
4
Lattice="0.000 3.139 3.139 3.139 0.000 3.139 3.139 3.139 0.000" Properties=species:S:1:pos:R:3 pbc="T T T"
Tc 1.569 1.569 1.569
Tc 4.708 4.708 4.708
Os 0.000 0.000 0.000
Br 3.139 3.139 3.139
```


(2)
A plane-wave DFT calculation with GGA-PBE was carried out for a relaxed Th6Tc2OsBr3 crystal.

## Properties
**Symmetry**: C2/m, No. 12
**DFT total energy**: -0.2750 hartree per atom
**D(E_F)**: 6.0 states/eV/f.u.
**E_form (uncorrected)**: -692 meV/atom

```
12
Lattice="9.956 -2.082 0.000 9.956 2.082 0.000 -3.394 0.000 8.624" Properties=species:S:1:pos:R:3 pbc="T T T"
Th -0.424 0.000 1.853
Th 4.819 0.000 3.900
Th 3.917 0.000 7.570
Th 12.600 0.000 1.054
Th 11.698 0.000 4.724
Th 16.941 0.000 6.771
Tc 2.180 0.000 2.878
Tc 14.337 0.000 5.746
Os 9.956 0.000 0.000
Br 0.504 0.000 7.196
Br 8.258 0.000 4.312
Br 16.013 0.000 1.428
```


(3)
A plane-wave DFT calculation with GGA-PBE was carried out for a relaxed Th8Tc3OsBr4 crystal.

## Properties
**Symmetry**: C2/m, No. 12
**DFT total energy**: -0.2738 hartree per atom
**D(E_F)**: 7.4 states/eV/f.u.
**E_form (uncorrected)**: -677 meV/atom

```
16
Lattice="7.211 -4.162 0.000 7.211 4.162 0.000 -4.817 0.000 7.926" Properties=species:S:1:pos:R:3 pbc="T T T"
Th 3.596 2.089 5.430
Th -0.004 0.000 5.438
Th 2.389 0.000 2.496
Th 6.008 2.089 2.496
Th 3.596 -2.089 5.430
Th 7.216 0.000 5.430
Th 9.609 0.000 2.488
Th 6.008 -2.089 2.496
Tc -2.409 0.000 3.963
Tc 1.197 2.081 3.963
Tc 1.197 -2.081 3.963
Os 4.802 0.000 3.963
Br 0.000 0.000 0.000
Br 3.606 2.081 0.000
Br 3.606 -2.081 0.000
Br 7.211 0.000 0.000
```